[1]
Entry from Alexandria via LeMat-Bulk: an optimized crystal structure of NdHo2MoN4 (GGA-PBE).

Cell lengths 3.429, 6.140, 11.813 Å; angles 90.00, 90.00, 106.22 degrees
Fractional positions:
Nd 0.097 0.194 0.750
Nd 0.903 0.806 0.250
Ho 0.370 0.740 0.539
Ho 0.630 0.260 0.039
Ho 0.630 0.260 0.461
Ho 0.370 0.740 0.961
Mo 0.838 0.676 0.750
Mo 0.162 0.324 0.250
N 0.263 0.525 0.122
N 0.737 0.475 0.622
N 0.737 0.475 0.878
N 0.263 0.525 0.378
N 0.000 0.000 0.500
N 0.000 0.000 0.000
N 0.439 0.879 0.750
N 0.561 0.121 0.250

Summary:
uncorrected formation energy: -889.5 kJ/mol of formula units
space group: Cmcm (63)

[2]
Entry from Alexandria via LeMat-Bulk: an optimized crystal structure of Li2MnBeCr (GGA-PBE).

Cell lengths 4.092, 3.973, 4.092 Å; angles 90.00, 90.00, 90.00 degrees
Last column: magnetic moment on the atom in μB.
Fractional positions:
Cr 0.500 0.500 0.500  0.31
Mn 0.000 0.000 0.000  -0.31
Li 0.000 0.000 0.500  0.01
Li 0.500 0.000 0.000  0.01
Be 0.000 0.500 0.000  0.00

Summary:
energy relative to the elements: 151 kJ per mole of atoms
space group: P4/mmm (123)

[3]
Entry from Alexandria via LeMat-Bulk: an optimized crystal structure of CrGaAs (GGA-PBE).

Cell lengths 3.034, 3.034, 18.013 Å; angles 90.00, 90.00, 120.00 degrees
Last column: magnetic moment on the atom in μB.
Fractional positions:
Cr 0.000 0.000 0.790  0.34
Cr 0.333 0.667 0.456  0.34
Cr 0.667 0.333 0.123  0.34
As 0.000 0.000 0.367  -0.02
As 0.333 0.667 0.033  -0.02
As 0.667 0.333 0.700  -0.02
Ga 0.000 0.000 0.227  -0.01
Ga 0.333 0.667 0.894  -0.01
Ga 0.667 0.333 0.560  -0.01

Summary:
energy relative to the elements: -4 kJ per mole of atoms
distance to the lowest polymorph of the same formula: 0.078 eV/atom
space group: R3m (160)

[4]
Entry from Alexandria via LeMat-Bulk: an optimized crystal structure of Hf4HgH2 (GGA-PBE).

Cell lengths 5.612, 5.610, 8.249 Å; angles 111.55, 103.37, 96.91 degrees
Fractional positions:
Hf 0.808 0.207 0.294
Hf 0.456 0.579 0.202
Hf 0.913 0.515 0.707
Hf 0.775 0.948 0.596
Hf 0.350 0.175 0.403
Hf 0.378 0.255 0.799
Hf 0.488 0.822 0.918
Hf 0.903 0.570 0.083
Hg 0.215 0.714 0.501
Hg 0.049 0.050 0.000
H 0.750 0.287 0.811
H 0.476 0.939 0.189
H 0.641 0.490 0.443
H 0.047 0.199 0.557

Summary:
raw total energy: -47.312 eV/f.u.
space group: P1 (1)

[5]
Entry from Alexandria via LeMat-Bulk: an optimized crystal structure of CrAgW (GGA-PBE).

Cell lengths 4.886, 4.886, 4.886 Å; angles 149.10, 129.79, 60.13 degrees
Last column: magnetic moment on the atom in μB.
Fractional positions:
Ag 0.998 0.998 0.000  0.01
Cr 0.329 0.329 0.000  0.55
W 0.673 0.673 0.000  -0.09

Summary:
energy relative to the elements: 66 kJ per mole of atoms
distance to the lowest polymorph of the same formula: 0.189 eV/atom
space group: Imm2 (44)

[6]
Entry from Alexandria via LeMat-Bulk: an optimized crystal structure of ErThZr (GGA-PBE).

Cell lengths 3.450, 3.450, 8.229 Å; angles 90.00, 90.00, 120.00 degrees
Fractional positions:
Zr 0.000 0.000 0.997
Th 0.333 0.667 0.677
Er 0.667 0.333 0.327

Summary:
energy relative to the elements: 9 kJ per mole of atoms
distance to the lowest polymorph of the same formula: 0.009 eV/atom
space group: P3m1 (156)